No. 1
The following is a DFT calculation (PBE-GGA) of a relaxed CeDyAu2 crystal.

abc: 3.797 4.724 5.898
angles: 90.00 108.71 90.00
Positions (direct):
Ce  0.000  0.000  0.000
Dy  0.276  0.500  0.553
Au  0.549  0.500  0.099
Au  0.726  0.000  0.453

* space-group type: Pm (6)
* calculated volume: 100 Å³/f.u.
* magnetic moment: 0.772 μB/cell
* energy relative to the elements: -0.756 eV/atom

***

No. 2
The following is a DFT calculation (PBE-GGA) of a relaxed Li2TaGe crystal.

abc: 5.673 5.673 5.673
angles: 102.02 102.02 125.70
Positions (direct):
Li  0.093  0.625  0.968
Li  0.375  0.343  0.468
Li  0.657  0.125  0.032
Li  0.875  0.907  0.532
Ta  0.250  0.750  0.500
Ta  0.500  0.500  0.000
Ge  0.000  0.000  0.000
Ge  0.750  0.250  0.500

* space-group type: I-42d (122)
* calculated volume: 66 Å³/f.u.
* magnetic moment: 0.000 μB/cell
* energy relative to the elements: 0.434 eV/atom

***

No. 3
The following is a DFT calculation (PBE-GGA) of a relaxed ScTa2Re crystal.

abc: 3.062 4.247 5.576
angles: 90.00 90.00 90.00
Positions (direct):
Sc  0.000  0.000  0.000
Ta  0.500  0.500  0.265
Ta  0.500  0.500  0.735
Re  0.000  0.000  0.500

* space-group type: Pmmm (47)
* calculated volume: 73 Å³/f.u.
* magnetic moment: 0.000 μB/cell
* polymorph energy (0 for the lowest one): 126 kJ/mol of formula units
* energy relative to the elements: 0.230 eV/atom

***

No. 4
The following is a DFT calculation (PBE-GGA) of a relaxed MnInSe2Br crystal.

abc: 4.886 4.886 5.409
angles: 90.00 90.00 90.00
Positions (direct):
Mn  0.000  0.000  0.000
In  0.500  0.500  0.500
Se  0.000  0.500  0.000
Se  0.500  0.000  0.000
Br  0.000  0.000  0.500

* space-group type: P4/mmm (123)
* calculated volume: 129 Å³/f.u.
* E_form (uncorrected): -105 kJ/mol of formula units
* magnetic moment: 3.526 μB/cell
* polymorph energy (0 for the lowest one): 0 kJ/mol of formula units